# 1
First-principles (PBE-GGA) data for a relaxed structure of TbDy8Th4, as listed in Alexandria via LeMat-Bulk.

Lattice parameters (Å, degrees): 7.3930 7.3930 26.6210 90.00 90.00 120.00
Space group R-3m (No. 166, hexagonal axes)
One atom of each set of equivalent atoms:
Tb 0.0000 0.0000 0.0000 x3
Dy 0.0000 0.0000 0.2795 x6
Dy 0.0407 0.5203 0.2697 x18
Th 0.0000 0.0000 0.5000 x3
Th 0.0000 0.5000 0.5000 x9

For the mass density, the calculation gives 9.4 g/cm³. The energy relative to the elements comes out at 0.23 eV per atom. Its total magnetization is 0.00 Bohr magnetons per cell.

# 2
First-principles (PBE-GGA) data for a relaxed structure of SiSeCl, as listed in Alexandria via LeMat-Bulk.

Lattice parameters (Å, degrees): 3.659 3.667 6.999 83.59 76.31 78.88
Space group P1 (No. 1)
One atom of each set of equivalent atoms:
Si 0.000 0.000 0.000 x1
Se 0.452 0.420 0.890 x1
Cl 0.871 0.961 0.305 x1

Its uncorrected formation energy is -0.50 eV/atom. For the mass density, the calculation gives 2.6 g/cm³. Its total magnetization is 0.00 Bohr magnetons per cell.

# 3
First-principles (PBE-GGA) data for a relaxed structure of NdErFe17, as listed in Alexandria via LeMat-Bulk.

Lattice parameters (Å, degrees): 8.4956 8.4956 12.4329 90.00 90.00 120.00
Space group R3m (No. 160, hexagonal axes)
One atom of each set of equivalent atoms:
Nd 0.0000 0.0000 0.0000 x3
Er 0.0000 0.0000 0.3197 x3
Fe 0.0000 0.0000 0.5616 x3
Fe 0.0000 0.0000 0.7544 x3
Fe 0.9996 0.4998 0.5022 x9
Fe 0.0011 0.5005 0.1583 x9
Fe 0.0404 0.3724 0.3253 x18
Fe 0.1676 0.3352 0.1491 x9

For the mass density, the calculation gives 8.1 g/cm³. The energy relative to the elements comes out at 0.01 eV per atom. Its total magnetization is 118.60 Bohr magnetons per cell.

# 4
First-principles (PBE-GGA) data for a relaxed structure of Ca4Y3ErTe8, as listed in Alexandria via LeMat-Bulk.

Lattice parameters (Å, degrees): 8.7790 8.7790 21.9803 90.00 90.00 120.00
Space group R-3m (No. 166, hexagonal axes)
One atom of each set of equivalent atoms:
Ca 0.0000 0.0000 0.0000 x3
Ca 0.0000 0.5000 0.0000 x9
Y 0.0000 0.5000 0.5000 x9
Er 0.0000 0.0000 0.5000 x3
Te 0.0000 0.0000 0.2486 x6
Te 0.0020 0.5010 0.2481 x18

Its uncorrected formation energy is -1.46 eV/atom. For the mass density, the calculation gives 5.5 g/cm³. Its total magnetization is 0.00 Bohr magnetons per cell.

# 5
First-principles (PBE-GGA) data for a relaxed structure of TmAg6, as listed in Alexandria via LeMat-Bulk.

Lattice parameters (Å, degrees): 7.340 7.340 7.340 90.00 90.00 90.00
Space group Im-3m (No. 229)
One atom of each set of equivalent atoms:
Tm 0.000 0.000 0.000 x2
Ag 0.000 0.250 0.500 x12

For the mass density, the calculation gives 6.9 g/cm³. The energy relative to the elements comes out at 0.68 eV per atom. Its total magnetization is 0.00 Bohr magnetons per cell.

# 6
First-principles (PBE-GGA) data for a relaxed structure of VCr2Ru, as listed in Alexandria via LeMat-Bulk.

Lattice parameters (Å, degrees): 5.890 5.890 5.890 90.00 90.00 90.00
Space group Fm-3m (No. 225)
One atom of each set of equivalent atoms:
V 0.000 0.000 0.000 x4
Cr 0.250 0.250 0.250 x8
Ru 0.000 0.000 0.500 x4

For the mass density, the calculation gives 8.3 g/cm³. The energy relative to the elements comes out at 0.01 eV per atom. Its total magnetization is 2.81 Bohr magnetons per cell.

# 7
First-principles (PBE-GGA) data for a relaxed structure of Cs2Li2HfSe4, as listed in Alexandria via LeMat-Bulk.

Lattice parameters (Å, degrees): 15.415 4.141 8.276 90.00 108.45 90.00
Space group C2/m (No. 12)
One atom of each set of equivalent atoms:
Cs 0.139 0.000 0.064 x4
Li 0.179 0.500 0.481 x4
Hf 0.000 0.000 0.500 x2
Se 0.015 0.500 0.289 x4
Se 0.183 0.000 0.652 x4

Its uncorrected formation energy is -1.31 eV/atom. For the mass density, the calculation gives 5.1 g/cm³. Its total magnetization is 0.00 Bohr magnetons per cell.

# 8
First-principles (PBE-GGA) data for a relaxed structure of Sr2TbSmSe4, as listed in Alexandria via LeMat-Bulk.

Lattice parameters (Å, degrees): 7.333 4.238 7.510 90.00 109.02 90.00
Space group P2/m (No. 10)
One atom of each set of equivalent atoms:
Sr 0.000 0.000 0.000 x1
Sr 0.500 0.500 0.000 x1
Tb 0.000 0.500 0.500 x1
Sm 0.500 0.000 0.500 x1
Se 0.241 0.000 0.733 x2
Se 0.251 0.500 0.264 x2

Its uncorrected formation energy is -1.90 eV/atom. For the mass density, the calculation gives 6.0 g/cm³. Its total magnetization is 0.00 Bohr magnetons per cell.